1.
Below is an optimized crystal structure of ReSn2SbW, with properties calculated at the GGA-PBE level.

Cell lengths 5.133, 4.949, 5.133 Å; angles 90.00, 90.00, 90.00 degrees
Last column: magnetic moment on the atom in μB.
Sites, in units of the cell vectors:
Re 0.000 0.000 0.000  -0.18
Sn 0.000 0.000 0.500  -0.03
Sn 0.500 0.000 0.000  0.00
W 0.000 0.500 0.000  1.29
Sb 0.500 0.500 0.500  -0.11

**Formation energy (no corrections)**: 1.04 eV/atom
**Fermi-level density of states**: 0.553 states/eV per atom

2.
Below is an optimized crystal structure of RbPAu2, with properties calculated at the GGA-PBE level.

Cell lengths 4.577, 4.577, 6.658 Å; angles 69.90, 69.90, 60.00 degrees
Sites, in units of the cell vectors:
P 0.500 0.500 0.500
Au 0.190 0.190 0.429
Au 0.810 0.810 0.571
Rb 0.000 0.000 0.000

**Calculated formation energy**: -0.09 eV per atom
**Fermi-level density of states**: 0.377 states/eV per atom

3.
Below is an optimized crystal structure of Pr5NdDyEr2, with properties calculated at the GGA-PBE level.

Cell lengths 5.688, 10.675, 10.818 Å; angles 90.00, 90.00, 105.45 degrees
Sites, in units of the cell vectors:
Pr 0.389 0.778 0.025
Pr 0.719 0.438 0.810
Pr 0.481 0.961 0.744
Pr 0.295 0.590 0.702
Pr 0.984 0.969 0.521
Pr 0.611 0.222 0.525
Pr 0.281 0.562 0.310
Pr 0.519 0.039 0.244
Pr 0.705 0.410 0.202
Pr 0.016 0.031 0.021
Nd 0.799 0.598 0.509
Nd 0.201 0.402 0.009
Dy 0.591 0.181 0.960
Dy 0.409 0.819 0.460
Er 0.884 0.767 0.813
Er 0.110 0.221 0.740
Er 0.116 0.233 0.313
Er 0.890 0.779 0.240

**Calculated formation energy**: 0.14 eV per atom
**Fermi-level density of states**: 1.573 states/eV per atom

4.
Below is an optimized crystal structure of GdMgB5O10, with properties calculated at the GGA-PBE level.

Cell lengths 7.654, 8.720, 9.440 Å; angles 87.11, 90.00, 90.00 degrees
Last column: magnetic moment on the atom in μB.
Sites, in units of the cell vectors:
Gd 0.311 0.188 0.762  6.93
Gd 0.689 0.812 0.238  6.93
Gd 0.189 0.688 0.262  6.93
Gd 0.811 0.312 0.738  6.93
Mg 0.910 0.396 0.126  0.00
Mg 0.590 0.896 0.626  0.00
Mg 0.090 0.604 0.874  0.00
Mg 0.410 0.104 0.374  0.00
B 0.902 0.845 0.002  0.00
B 0.578 0.415 0.239  0.00
B 0.312 0.433 0.087  0.00
B 0.828 0.515 0.394  0.00
B 0.469 0.779 0.946  0.00
B 0.031 0.279 0.446  0.00
B 0.922 0.915 0.739  0.00
B 0.598 0.345 0.502  0.00
B 0.812 0.067 0.413  0.00
B 0.172 0.485 0.606  0.00
B 0.688 0.567 0.913  0.00
B 0.188 0.933 0.587  0.00
B 0.328 0.985 0.106  0.00
B 0.969 0.721 0.554  0.00
B 0.422 0.585 0.761  0.00
B 0.531 0.221 0.054  0.00
B 0.078 0.085 0.261  0.00
B 0.098 0.155 0.998  0.00
B 0.402 0.655 0.498  0.00
B 0.672 0.015 0.894  0.00
O 0.587 0.510 0.806  0.00
O 0.151 0.183 0.369  -0.01
O 0.534 0.316 0.370  0.00
O 0.087 0.990 0.694  0.00
O 0.966 0.816 0.870  0.00
O 0.895 0.672 0.416  -0.01
O 0.454 0.737 0.380  0.01
O 0.034 0.184 0.130  0.00
O 0.227 0.044 0.982  0.00
O 0.971 0.411 0.352  -0.01
O 0.627 0.684 0.992  0.00
O 0.773 0.956 0.018  0.00
O 0.529 0.911 0.852  -0.01
O 0.546 0.263 0.620  0.01
O 0.849 0.817 0.631  -0.01
O 0.466 0.684 0.630  0.00
O 0.954 0.763 0.120  0.01
O 0.349 0.683 0.869  -0.01
O 0.213 0.968 0.234  -0.01
O 0.605 0.172 0.916  -0.01
O 0.029 0.589 0.648  -0.01
O 0.373 0.316 0.008  0.00
O 0.849 0.498 0.928  0.00
O 0.349 0.002 0.572  0.00
O 0.913 0.010 0.306  0.00
O 0.873 0.184 0.492  0.00
O 0.651 0.317 0.131  -0.01
O 0.105 0.328 0.584  -0.01
O 0.046 0.237 0.880  0.01
O 0.151 0.502 0.072  0.00
O 0.727 0.456 0.518  0.00
O 0.413 0.490 0.194  0.00
O 0.713 0.532 0.266  -0.01
O 0.127 0.816 0.508  0.00
O 0.273 0.544 0.482  0.00
O 0.787 0.032 0.766  -0.01
O 0.395 0.828 0.084  -0.01
O 0.471 0.089 0.148  -0.01
O 0.287 0.468 0.734  -0.01
O 0.651 0.998 0.428  0.00

**Formation energy (no corrections)**: -2.68 eV/atom
**Fermi-level density of states**: 0.000 states/eV per atom

5.
Below is an optimized crystal structure of BaLa2BiRu, with properties calculated at the GGA-PBE level.

Cell lengths 5.431, 5.431, 5.978 Å; angles 90.00, 90.00, 90.00 degrees
Sites, in units of the cell vectors:
Ba 0.000 0.000 0.500
Ru 0.000 0.000 0.000
Bi 0.500 0.500 0.500
La 0.000 0.500 0.000
La 0.500 0.000 0.000

**Calculated formation energy**: -0.41 eV per atom
**Fermi-level density of states**: 0.698 states/eV per atom

6.
Below is an optimized crystal structure of SrCrHN2, with properties calculated at the GGA-PBE level.

Cell lengths 3.806, 3.806, 3.799 Å; angles 90.00, 90.00, 90.00 degrees
Last column: magnetic moment on the atom in μB.
Sites, in units of the cell vectors:
Sr 0.500 0.500 0.500  0.00
N 0.000 0.500 0.000  -0.17
N 0.500 0.000 0.000  -0.17
H 0.000 0.000 0.500  -0.02
Cr 0.000 0.000 0.000  0.86

**Fermi-level density of states**: 0.247 states/eV per atom
**Total energy**: -6.724 eV per atom

7.
Below is an optimized crystal structure of Hg3Te4As, with properties calculated at the GGA-PBE level.

Cell lengths 7.944, 7.708, 9.752 Å; angles 90.00, 90.00, 90.00 degrees
Sites, in units of the cell vectors:
Hg 0.503 0.857 0.000
Hg 0.982 0.672 0.257
Hg 0.482 0.328 0.243
Hg 0.003 0.143 0.500
Hg 0.482 0.328 0.757
Hg 0.982 0.672 0.743
Te 0.133 0.826 0.000
Te 0.640 0.199 0.000
Te 0.121 0.315 0.252
Te 0.621 0.685 0.248
Te 0.140 0.801 0.500
Te 0.633 0.174 0.500
Te 0.621 0.685 0.752
Te 0.121 0.315 0.748
As 0.034 0.159 0.000
As 0.534 0.841 0.500

**Formation energy (no corrections)**: 0.02 eV/atom
**Fermi-level density of states**: 0.435 states/eV per atom

8.
Below is an optimized crystal structure of Ce2PuSn, with properties calculated at the GGA-PBE level.

Cell lengths 5.363, 5.363, 5.363 Å; angles 60.00, 60.00, 60.00 degrees
Last column: magnetic moment on the atom in μB.
Sites, in units of the cell vectors:
Sn 0.500 0.500 0.500  -0.10
Ce 0.250 0.250 0.250  1.03
Ce 0.750 0.750 0.750  1.03
Pu 0.000 0.000 0.000  5.81

**Calculated formation energy**: -0.28 eV per atom
**Fermi-level density of states**: 2.296 states/eV per atom

9.
Below is an optimized crystal structure of La2PPd2, with properties calculated at the GGA-PBE level.

Cell lengths 3.865, 3.865, 8.310 Å; angles 76.55, 76.55, 90.00 degrees
Sites, in units of the cell vectors:
P 0.000 0.000 0.000
Pd 0.750 0.250 0.500
Pd 0.250 0.750 0.500
La 0.396 0.396 0.208
La 0.604 0.604 0.792

**Calculated formation energy**: -0.89 eV per atom
**Fermi-level density of states**: 0.639 states/eV per atom

10.
Below is an optimized crystal structure of Ce2SmHg3, with properties calculated at the GGA-PBE level.

Cell lengths 3.781, 3.781, 11.670 Å; angles 90.00, 90.00, 90.00 degrees
Last column: magnetic moment on the atom in μB.
Sites, in units of the cell vectors:
Ce 0.500 0.500 0.832  1.03
Ce 0.500 0.500 0.168  1.03
Sm 0.500 0.500 0.500  0.14
Hg 0.000 0.000 0.000  0.02
Hg 0.000 0.000 0.661  0.02
Hg 0.000 0.000 0.339  0.02

**Calculated formation energy**: -0.35 eV per atom
**Fermi-level density of states**: 3.134 states/eV per atom

11.
Below is an optimized crystal structure of Pt2W2Au, with properties calculated at the GGA-PBE level.

Cell lengths 7.906, 7.906, 2.750 Å; angles 90.00, 90.00, 90.00 degrees
Sites, in units of the cell vectors:
Au 0.000 0.000 0.000
Au 0.500 0.500 0.000
W 0.379 0.879 0.000
W 0.879 0.621 0.000
W 0.621 0.121 0.000
W 0.121 0.379 0.000
Pt 0.169 0.669 0.500
Pt 0.669 0.831 0.500
Pt 0.831 0.331 0.500
Pt 0.331 0.169 0.500

**Calculated formation energy**: 0.12 eV per atom
**Fermi-level density of states**: 0.589 states/eV per atom